Compound: GdHoAgSn
Source: Alexandria
Functional: PBE
Structure: optimized geometry

abc: 7.4139 7.4139 7.4139
angles: 90.00 90.00 90.00
Last column: nearest neighbours and their distance in Å.
Space group F-43m (No. 216)
One atom of each set of equivalent atoms:
1 Gd 0.0000 0.0000 0.0000 x4  4 Ag 3.21, 4 Sn 3.21
2 Ho 0.0000 0.0000 0.5000 x4  4 Sn 3.21, 4 Ag 3.21
3 Ag 0.2500 0.2500 0.7500 x4  4 Gd 3.21, 4 Ho 3.21
4 Sn 0.2500 0.2500 0.2500 x4  4 Gd 3.21, 4 Ho 3.21

Summary:
Calculated total energy: -6.9031 eV per atom
Spin magnetization: 1.9727 μB per atom
DFT formation energy: -0.52 eV/atom